## NbCdN3 (PBE)

Data for NbCdN3 after structural relaxation.

Values from the calculation:
DFT total energy ... -5.11 eV/atom
ρ ... 6.5 Mg/m³

a = 3.985 Å, b = 3.985 Å, c = 3.985 Å
α = 90.00°, β = 90.00°, γ = 90.00°
Space group Pm-3m (No. 221)
Symmetry-distinct sites (fractional):
Nb (0.000, 0.000, 0.000) (multiplicity 1)
Cd (0.500, 0.500, 0.500) (multiplicity 1)
N (0.000, 0.500, 0.500) (multiplicity 3)



## Sm3Mg2Ga (PBE)

Data for Sm3Mg2Ga after structural relaxation.

Values from the calculation:
DFT total energy ... -3.66 eV/atom
E above lowest polymorph ... 0.0 meV per atom
ρ ... 5.8 Mg/m³
DFT formation energy ... -262 meV/atom

a = 5.344 Å, b = 16.161 Å, c = 3.743 Å
α = 90.00°, β = 90.00°, γ = 90.00°
Space group Cmmm (No. 65)
Symmetry-distinct sites (fractional):
Sm (0.000, 0.000, 0.000) (multiplicity 2)
Sm (0.000, 0.345, 0.000) (multiplicity 4)
Mg (0.000, 0.176, 0.500) (multiplicity 4)
Ga (0.000, 0.500, 0.500) (multiplicity 2)



## TbHo8Sc2 (PBE)

Data for TbHo8Sc2 after structural relaxation.

Values from the calculation:
DFT total energy ... -4.73 eV/atom
E above lowest polymorph ... 50.6 meV per atom
ρ ... 7.8 Mg/m³
DFT formation energy ... 175 meV/atom

a = 8.855 Å, b = 16.047 Å, c = 5.776 Å
α = 90.00°, β = 125.21°, γ = 90.00°
Space group C2/m (No. 12)
Symmetry-distinct sites (fractional):
Tb (0.000, 0.000, 0.000) (multiplicity 2)
Ho (0.000, 0.206, 0.000) (multiplicity 4)
Ho (0.061, 0.500, 0.789) (multiplicity 4)
Ho (0.221, 0.124, 0.687) (multiplicity 8)
Sc (0.000, 0.311, 0.500) (multiplicity 4)